VASP calculation (PBE) on crystalline SmNiAs2Rh2 at its relaxed geometry.

Cell and atoms, written as POSCAR:
```
SmNiAs2Rh2
1.0
4.4857 0.0000 0.0000
0.0000 4.4857 0.0000
0.0000 0.0000 5.4845
Sm Ni As Rh
1 1 2 2
Cartesian
0.0000 0.0000 2.7423
0.0000 0.0000 0.0000
2.2428 0.0000 0.0000
0.0000 2.2428 0.0000
2.2428 2.2428 4.0663
2.2428 2.2428 1.4182
```

Calculated values
SG: No. 123
Crystal system: tetragonal
Energy relative to the elements: -0.309 eV/atom
N(E_F): 4.01 states/eV per cell
Total magnetic moment: 0.00 μB/cell